[1]
Entry from Alexandria: a relaxed Sc3AlAg crystal (PBE).

Output
Density in g/cm³: 3.309
Energy of formation from the pure elements in eV per formula unit: 2.2
Distance to the lowest polymorph of the same formula in meV/atom: 701

Unit cell a=5.134 b=5.134 c=5.134 alpha=90.00 beta=90.00 gamma=90.00
Site moments in Bohr magnetons follow the coordinates.
Atoms (fractional coordinates):
Sc (0.000, 0.500, 0.000)  0.21
Sc (0.000, 0.000, 0.500)  0.26
Sc (0.500, 0.000, 0.000)  0.16
Al (0.000, 0.000, 0.000)  -0.01
Ag (0.500, 0.500, 0.500)  0.02

---

[2]
Entry from Alexandria: a relaxed CaGeAs2Br crystal (PBE).

Output
Uncorrected formation energy in eV per formula unit: 2.3
Density in g/cm³: 3.536
Distance to the lowest polymorph of the same formula in meV/atom: 614

Unit cell a=5.489 b=5.489 c=5.337 alpha=90.00 beta=90.00 gamma=90.00
Site moments in Bohr magnetons follow the coordinates.
Atoms (fractional coordinates):
As (0.000, 0.500, 0.000)  0.18
As (0.500, 0.000, 0.000)  0.18
Ca (0.000, 0.000, 0.000)  0.00
Ge (0.500, 0.500, 0.500)  -0.03
Br (0.000, 0.000, 0.500)  0.10